1.
First-principles (GGA-PBE) data for TbHo4Al after structural relaxation, as listed in the Alexandria database.

Results
- symmetry = C2/c (15)
- energy relative to the lowest polymorph listed for this composition (meV per atom) = 85
- spin magnetization (μB per cell) = 0.000
- ΔE_f (kJ/mol of formula units) = -21

Cell: 8.130 8.130 6.197 Å, 99.80 99.80 115.46°
Fractional positions:
Tb 0.092 0.908 0.750
Tb 0.908 0.092 0.250
Ho 0.103 0.338 0.877
Ho 0.216 0.585 0.456
Ho 0.338 0.103 0.377
Ho 0.415 0.784 0.044
Ho 0.585 0.216 0.956
Ho 0.662 0.897 0.623
Ho 0.784 0.415 0.544
Ho 0.897 0.662 0.123
Al 0.499 0.501 0.250
Al 0.501 0.499 0.750


2.
First-principles (GGA-PBE) data for TbHo2Al2 after structural relaxation, as listed in the Alexandria database.

Results
- symmetry = P2_1/m (11)
- energy relative to the lowest polymorph listed for this composition (meV per atom) = 0
- spin magnetization (μB per cell) = 0.000
- ΔE_f (kJ/mol of formula units) = -152

Cell: 3.627 5.141 13.484 Å, 90.00 97.74 90.00°
Fractional positions:
Tb 0.144 0.250 0.291
Tb 0.856 0.750 0.709
Ho 0.047 0.750 0.094
Ho 0.233 0.750 0.467
Ho 0.767 0.250 0.533
Ho 0.953 0.250 0.906
Al 0.360 0.250 0.719
Al 0.451 0.750 0.902
Al 0.549 0.250 0.098
Al 0.640 0.750 0.281